i | Density functional theory data (meta-GGA SCAN) for a crystal of Si2C relaxed with PBEsol.

Lattice parameters (Å, degrees): 2.895 9.592 4.710 90.00 90.00 90.00
Space group Cmcm (No. 63)
Asymmetric unit:
Si (0.000, 0.033, 0.250) [4 per cell]
Si (0.000, 0.311, 0.250) [4 per cell]
C (0.000, 0.323, 0.750) [4 per cell]

Summary:
Calculated volume   10.90 Å³ per atom
Magnetization   0.00 μB/f.u.



ii | Density functional theory data (meta-GGA SCAN) for a crystal of Si2C relaxed with PBEsol.

Lattice parameters (Å, degrees): 2.9551 2.9551 14.8201 90.00 90.00 120.00
Space group P-3m1 (No. 164)
Asymmetric unit:
Si (0.0000, 0.0000, 0.0811) [2 per cell]
Si (0.3333, 0.6667, 0.5787) [2 per cell]
Si (0.3333, 0.6667, 0.7454) [2 per cell]
C (0.0000, 0.0000, 0.5000) [1 per cell]
C (0.3333, 0.6667, 0.8739) [2 per cell]

Summary:
Calculated volume   12.45 Å³ per atom
Magnetization   0.00 μB/f.u.



iii | Density functional theory data (meta-GGA SCAN) for a crystal of Si2C relaxed with PBEsol.

Lattice parameters (Å, degrees): 2.9005 2.9005 13.1419 90.00 90.00 120.00
Space group R-3m (No. 166, hexagonal axes)
Asymmetric unit:
Si (0.0000, 0.0000, 0.2437) [6 per cell]
C (0.0000, 0.0000, 0.0000) [3 per cell]

Summary:
Calculated volume   10.64 Å³ per atom
Magnetization   0.00 μB/f.u.



In terms of stability, ii leads; the second structure lies 0.204 eV/atom higher.